TbPr6Nd5 after structural relaxation. Source: Alexandria via LeMat-Bulk, functional PBE.

The uncorrected energy is -57.00 eV/cell. Its formation energy is 0.1 eV/f.u. The total moment is 0.000 Bohr magnetons per cell.

Cell and atoms, written as POSCAR:
```
TbPr6Nd5
1.0
12.123 -1.543 0.000
1.909 6.103 0.000
0.955 3.052 5.539
Pr Nd Tb
6 5 1
Direct
0.249 0.918 0.668
0.249 0.250 0.000
0.751 0.082 0.332
0.751 0.750 0.000
0.751 0.415 0.668
0.249 0.585 0.332
0.000 0.333 0.334
0.500 0.166 0.667
0.500 0.500 0.000
0.000 0.667 0.666
0.500 0.834 0.333
0.000 0.000 0.000
```